[1]
PuHfTcNi | GGA-PBE | optimized geometry

Cell and atoms, written as extended XYZ:
```
4
Lattice="-0.878 -3.765 -2.591 -2.287 -3.610 1.842 -4.355 -0.930 -1.352" Properties=species:S:1:pos:R:3 pbc="T T T"
Ni -1.880 -2.076 -0.525
Hf -3.760 -4.153 -1.050
Tc -5.640 -6.229 -1.575
Pu 0.000 0.000 0.000
```

M_tot: 4.59 Bohr magnetons per cell
Energy relative to the elements: -0.1693 eV/atom



[2]
Rb2Hf2Ni | GGA-PBE | optimized geometry

Cell and atoms, written as extended XYZ:
```
5
Lattice="-3.298 -2.137 -0.387 0.838 -1.902 3.358 -7.283 6.206 7.654" Properties=species:S:1:pos:R:3 pbc="T T T"
Ni 0.000 0.000 0.000
Hf -5.906 1.025 4.376
Hf -3.838 1.142 6.249
Rb -2.352 -0.495 2.629
Rb -7.391 2.662 7.996
```

M_tot: 0.90 Bohr magnetons per cell
ΔE to the lowest computed polymorph: 0.0 meV per atom
Energy relative to the elements: 1.1339 eV/atom



[3]
RbHf2Ni | GGA-PBE | optimized geometry

Cell and atoms, written as extended XYZ:
```
8
Lattice="-4.491 -3.968 -1.235 2.542 -4.061 3.806 -5.062 -1.181 7.039" Properties=species:S:1:pos:R:3 pbc="T T T"
Ni -0.974 -4.015 1.285
Ni -1.747 -4.628 6.065
Hf -2.633 -2.292 1.772
Hf -1.360 -4.320 3.676
Hf -3.893 -4.910 7.194
Hf -6.136 -6.897 6.578
Rb 0.000 0.000 0.000
Rb -5.264 -4.582 3.544
```

M_tot: 0.00 Bohr magnetons per cell
ΔE to the lowest computed polymorph: 34.0 meV per atom
Energy relative to the elements: 1.1330 eV/atom



[4]
Rb3HfNi | GGA-PBE | optimized geometry

Cell and atoms, written as extended XYZ:
```
5
Lattice="6.349 0.000 0.000 0.000 6.349 0.000 0.000 0.000 6.349" Properties=species:S:1:pos:R:3 pbc="T T T"
Ni 0.000 0.000 0.000
Hf 3.174 3.174 3.174
Rb 0.000 3.174 0.000
Rb 0.000 0.000 3.174
Rb 3.174 0.000 0.000
```

M_tot: 3.00 Bohr magnetons per cell
Energy relative to the elements: 1.4328 eV/atom



[5]
RbHfNi3 | GGA-PBE | optimized geometry

Cell and atoms, written as extended XYZ:
```
5
Lattice="4.882 0.000 0.000 0.000 4.882 0.000 0.000 0.000 4.882" Properties=species:S:1:pos:R:3 pbc="T T T"
Ni 0.000 2.441 0.000
Ni 0.000 0.000 2.441
Ni 2.441 0.000 0.000
Hf 0.000 0.000 0.000
Rb 2.441 2.441 2.441
```

M_tot: 0.00 Bohr magnetons per cell
ΔE to the lowest computed polymorph: 0.0 meV per atom
Energy relative to the elements: 0.9376 eV/atom



[6]
RbHfNi3 | GGA-PBE | optimized geometry

Cell and atoms, written as extended XYZ:
```
5
Lattice="4.600 0.000 0.000 0.000 4.600 0.000 0.000 0.000 4.600" Properties=species:S:1:pos:R:3 pbc="T T T"
Ni 0.000 2.300 0.000
Ni 0.000 0.000 2.300
Ni 2.300 0.000 0.000
Hf 2.300 2.300 2.300
Rb 0.000 0.000 0.000
```

M_tot: 0.00 Bohr magnetons per cell
ΔE to the lowest computed polymorph: 1025.6 meV per atom
Energy relative to the elements: 1.9632 eV/atom



[7]
Rb2Hf2Ni | GGA-PBE | optimized geometry

Cell and atoms, written as extended XYZ:
```
10
Lattice="-9.014 -1.095 5.775 -1.065 -10.093 -3.578 1.608 -0.993 2.322" Properties=species:S:1:pos:R:3 pbc="T T T"
Ni 0.000 0.000 0.000
Ni -5.040 -5.594 1.099
Hf -1.614 -7.636 -0.217
Hf -6.256 -9.454 2.221
Hf -6.857 -4.545 4.736
Hf -2.216 -2.728 2.299
Rb -4.409 -9.349 -0.944
Rb -8.629 -7.181 2.907
Rb -5.671 -1.839 3.141
Rb -1.450 -4.008 -0.709
```

M_tot: 0.00 Bohr magnetons per cell
ΔE to the lowest computed polymorph: 997.2 meV per atom
Energy relative to the elements: 2.1311 eV/atom



[8]
RbHf2Ni | GGA-PBE | optimized geometry

Cell and atoms, written as extended XYZ:
```
4
Lattice="0.000 3.445 3.445 3.445 0.000 3.445 3.445 3.445 0.000" Properties=species:S:1:pos:R:3 pbc="T T T"
Ni 0.000 0.000 0.000
Hf 1.722 1.722 1.722
Hf 5.167 5.167 5.167
Rb 3.445 3.445 3.445
```

M_tot: 0.00 Bohr magnetons per cell
ΔE to the lowest computed polymorph: 0.0 meV per atom
Energy relative to the elements: 1.0990 eV/atom